Material: NaTaV2O8
Method: DFT, PBE with a Hubbard U
State: optimized geometry

Unit cell a=5.7719 b=5.7719 c=5.7719 alpha=105.86 beta=105.86 gamma=116.97
Last column: nearest neighbours and their distance in Å.
Positions (direct):
Na1 0.0000 0.0000 0.0000  8 O 2.26-2.51
Ta1 0.2500 0.7500 0.5000  8 O 2.10-2.18
V1 0.7500 0.2500 0.5000  4 O 1.74
V2 0.5000 0.5000 0.0000  4 O 1.75
O1 0.3695 0.0473 0.3223  1 V 1.74
O2 0.3399 0.5489 0.2090  1 V 1.75
O3 0.3399 0.1309 0.7910  1 V 1.75
O4 0.7250 0.0473 0.6777  1 V 1.74
O5 0.8691 0.6601 0.2090  1 V 1.75
O6 0.9527 0.2750 0.3223  1 V 1.74
O7 0.9527 0.6305 0.6777  1 V 1.74
O8 0.4511 0.6601 0.7910  1 V 1.75

Calculated values
Magnetization: 0.00 μB/f.u.
Volume: 12.2 Å³ per atom
Total energy: -7.7154 eV/atom
Density of states at the Fermi level: 0.00 states/eV/atom